Entry 1:
Below is Na2VO3 at its PBEsol-relaxed geometry, with properties calculated at the SCAN level.

```
data_Na2VO3
_chemical_formula_sum 'Na4 V2 O6'
_symmetry_space_group_name_H-M 'P 1'
_symmetry_Int_Tables_number 1
_symmetry_space_group_name_Hall 'P 1'
_cell_length_a 6.288
_cell_length_b 6.288
_cell_length_c 4.883
_cell_angle_alpha 90.00
_cell_angle_beta 90.00
_cell_angle_gamma 60.05
loop_
_atom_site_label
_atom_site_type_symbol
_atom_site_fract_x
_atom_site_fract_y
_atom_site_fract_z
Na1 Na 0.000 0.330 0.000
Na2 Na 0.000 0.670 0.500
Na3 Na 0.330 0.000 0.500
Na4 Na 0.670 0.000 0.000
V1 V 0.331 0.669 0.963
V2 V 0.669 0.331 0.463
O1 O 0.062 0.662 0.020
O2 O 0.338 0.938 0.020
O3 O 0.389 0.611 0.589
O4 O 0.611 0.389 0.089
O5 O 0.662 0.062 0.520
O6 O 0.938 0.338 0.520
```

Results
- crystal system = orthorhombic
- formation energy from raw total energies (eV/atom) = -2.326
- space-group type = Cmc2_1
- M_tot (μB per cell) = 2.00



Entry 2:
Below is Na4V3O8 at its PBEsol-relaxed geometry, with properties calculated at the SCAN level.

```
data_Na4V3O8
_chemical_formula_sum 'Na8 V6 O16'
_symmetry_space_group_name_H-M 'P 1'
_symmetry_Int_Tables_number 1
_symmetry_space_group_name_Hall 'P 1'
_cell_length_a 6.814
_cell_length_b 4.164
_cell_length_c 11.997
_cell_angle_alpha 90.00
_cell_angle_beta 104.42
_cell_angle_gamma 90.00
loop_
_atom_site_label
_atom_site_type_symbol
_atom_site_fract_x
_atom_site_fract_y
_atom_site_fract_z
Na1 Na 0.029 0.250 0.287
Na2 Na 0.094 0.750 0.958
Na3 Na 0.308 0.750 0.396
Na4 Na 0.468 0.750 0.661
Na5 Na 0.532 0.250 0.339
Na6 Na 0.692 0.250 0.604
Na7 Na 0.906 0.250 0.042
Na8 Na 0.971 0.750 0.713
V1 V 0.152 0.250 0.556
V2 V 0.301 0.250 0.810
V3 V 0.397 0.250 0.075
V4 V 0.603 0.750 0.925
V5 V 0.699 0.750 0.190
V6 V 0.848 0.750 0.444
O1 O 0.053 0.250 0.695
O2 O 0.115 0.750 0.544
O3 O 0.182 0.250 0.938
O4 O 0.253 0.250 0.169
O5 O 0.306 0.250 0.459
O6 O 0.332 0.750 0.828
O7 O 0.408 0.250 0.686
O8 O 0.444 0.750 0.066
O9 O 0.556 0.250 0.934
O10 O 0.592 0.750 0.314
O11 O 0.668 0.250 0.172
O12 O 0.694 0.750 0.541
O13 O 0.747 0.750 0.831
O14 O 0.818 0.750 0.062
O15 O 0.885 0.250 0.456
O16 O 0.947 0.750 0.305
```

Results
- crystal system = monoclinic
- formation energy from raw total energies (eV/atom) = -2.353
- space-group type = P2_1/m
- M_tot (μB per cell) = 6.00



Entry 3:
Below is NaV2O5 at its PBEsol-relaxed geometry, with properties calculated at the SCAN level.

```
data_NaV2O5
_chemical_formula_sum 'Na4 V8 O20'
_symmetry_space_group_name_H-M 'P 1'
_symmetry_Int_Tables_number 1
_symmetry_space_group_name_Hall 'P 1'
_cell_length_a 9.723
_cell_length_b 3.609
_cell_length_c 11.974
_cell_angle_alpha 90.00
_cell_angle_beta 90.00
_cell_angle_gamma 90.00
loop_
_atom_site_label
_atom_site_type_symbol
_atom_site_fract_x
_atom_site_fract_y
_atom_site_fract_z
Na1 Na 0.155 0.250 0.231
Na2 Na 0.345 0.750 0.731
Na3 Na 0.655 0.250 0.269
Na4 Na 0.845 0.750 0.769
V1 V 0.066 0.250 0.587
V2 V 0.126 0.750 0.001
V3 V 0.374 0.250 0.501
V4 V 0.434 0.750 0.087
V5 V 0.566 0.250 0.913
V6 V 0.626 0.750 0.499
V7 V 0.874 0.250 0.999
V8 V 0.934 0.750 0.413
O1 O 0.015 0.750 0.294
O2 O 0.063 0.750 0.538
O3 O 0.071 0.250 0.035
O4 O 0.213 0.750 0.887
O5 O 0.248 0.250 0.614
O6 O 0.252 0.750 0.114
O7 O 0.287 0.250 0.387
O8 O 0.429 0.750 0.535
O9 O 0.437 0.250 0.038
O10 O 0.485 0.250 0.794
O11 O 0.515 0.750 0.206
O12 O 0.563 0.750 0.962
O13 O 0.571 0.250 0.465
O14 O 0.713 0.750 0.613
O15 O 0.748 0.250 0.886
O16 O 0.752 0.750 0.386
O17 O 0.787 0.250 0.113
O18 O 0.929 0.750 0.965
O19 O 0.937 0.250 0.462
O20 O 0.985 0.250 0.706
```

Results
- crystal system = orthorhombic
- formation energy from raw total energies (eV/atom) = -2.573
- space-group type = Pnma
- E above lowest polymorph (eV/atom) = 0.001
- M_tot (μB per cell) = 4.00



Entry 4:
Below is NaVO3 at its PBEsol-relaxed geometry, with properties calculated at the SCAN level.

```
data_NaVO3
_chemical_formula_sum 'Na4 V4 O12'
_symmetry_space_group_name_H-M 'P 1'
_symmetry_Int_Tables_number 1
_symmetry_space_group_name_Hall 'P 1'
_cell_length_a 14.356
_cell_length_b 3.585
_cell_length_c 5.455
_cell_angle_alpha 90.00
_cell_angle_beta 90.00
_cell_angle_gamma 90.00
loop_
_atom_site_label
_atom_site_type_symbol
_atom_site_fract_x
_atom_site_fract_y
_atom_site_fract_z
Na1 Na 0.176 0.250 0.098
Na2 Na 0.324 0.750 0.598
Na3 Na 0.676 0.250 0.402
Na4 Na 0.824 0.750 0.902
V1 V 0.087 0.750 0.561
V2 V 0.413 0.250 0.061
V3 V 0.587 0.750 0.939
V4 V 0.913 0.250 0.439
O1 O 0.052 0.250 0.497
O2 O 0.118 0.750 0.850
O3 O 0.182 0.750 0.388
O4 O 0.318 0.250 0.888
O5 O 0.382 0.250 0.350
O6 O 0.448 0.750 0.997
O7 O 0.552 0.250 0.003
O8 O 0.618 0.750 0.650
O9 O 0.682 0.750 0.112
O10 O 0.818 0.250 0.612
O11 O 0.882 0.250 0.150
O12 O 0.948 0.750 0.503
```

Results
- crystal system = orthorhombic
- formation energy from raw total energies (eV/atom) = -2.501
- space-group type = Pnma
- M_tot (μB per cell) = 0.00



Entry 5:
Below is NaVO3 at its PBEsol-relaxed geometry, with properties calculated at the SCAN level.

```
data_NaVO3
_chemical_formula_sum 'Na4 V4 O12'
_symmetry_space_group_name_H-M 'P 1'
_symmetry_Int_Tables_number 1
_symmetry_space_group_name_Hall 'P 1'
_cell_length_a 7.135
_cell_length_b 7.135
_cell_length_c 5.896
_cell_angle_alpha 104.67
_cell_angle_beta 104.67
_cell_angle_gamma 83.47
loop_
_atom_site_label
_atom_site_type_symbol
_atom_site_fract_x
_atom_site_fract_y
_atom_site_fract_z
Na1 Na 0.088 0.912 0.750
Na2 Na 0.282 0.718 0.250
Na3 Na 0.718 0.282 0.750
Na4 Na 0.912 0.088 0.250
V1 V 0.204 0.382 0.770
V2 V 0.382 0.204 0.270
V3 V 0.618 0.796 0.730
V4 V 0.796 0.618 0.230
O1 O 0.028 0.228 0.668
O2 O 0.111 0.605 0.825
O3 O 0.228 0.028 0.168
O4 O 0.351 0.353 0.555
O5 O 0.353 0.351 0.055
O6 O 0.395 0.889 0.675
O7 O 0.605 0.111 0.325
O8 O 0.647 0.649 0.945
O9 O 0.649 0.647 0.445
O10 O 0.772 0.972 0.832
O11 O 0.889 0.395 0.175
O12 O 0.972 0.772 0.332
```

Results
- crystal system = monoclinic
- formation energy from raw total energies (eV/atom) = -2.509
- space-group type = C2/c
- M_tot (μB per cell) = 0.00



Entry 6:
Below is Na3VO3 at its PBEsol-relaxed geometry, with properties calculated at the SCAN level.

```
data_Na3VO3
_chemical_formula_sum 'Na12 V4 O12'
_symmetry_space_group_name_H-M 'P 1'
_symmetry_Int_Tables_number 1
_symmetry_space_group_name_Hall 'P 1'
_cell_length_a 9.137
_cell_length_b 9.137
_cell_length_c 6.490
_cell_angle_alpha 102.90
_cell_angle_beta 102.90
_cell_angle_gamma 64.28
loop_
_atom_site_label
_atom_site_type_symbol
_atom_site_fract_x
_atom_site_fract_y
_atom_site_fract_z
Na1 Na 0.138 0.156 0.818
Na2 Na 0.156 0.138 0.318
Na3 Na 0.160 0.840 0.750
Na4 Na 0.215 0.785 0.250
Na5 Na 0.268 0.447 0.916
Na6 Na 0.447 0.268 0.416
Na7 Na 0.553 0.732 0.584
Na8 Na 0.732 0.553 0.084
Na9 Na 0.785 0.215 0.750
Na10 Na 0.840 0.160 0.250
Na11 Na 0.844 0.862 0.682
Na12 Na 0.862 0.844 0.182
V1 V 0.088 0.514 0.374
V2 V 0.486 0.912 0.126
V3 V 0.514 0.088 0.874
V4 V 0.912 0.486 0.626
O1 O 0.001 0.083 0.001
O2 O 0.057 0.591 0.652
O3 O 0.083 0.001 0.501
O4 O 0.249 0.518 0.279
O5 O 0.409 0.943 0.848
O6 O 0.482 0.751 0.221
O7 O 0.518 0.249 0.779
O8 O 0.591 0.057 0.152
O9 O 0.751 0.482 0.721
O10 O 0.917 0.999 0.499
O11 O 0.943 0.409 0.348
O12 O 0.999 0.917 0.999
```

Results
- crystal system = monoclinic
- formation energy from raw total energies (eV/atom) = -1.432
- space-group type = C2/c
- E above lowest polymorph (eV/atom) = 0.503
- M_tot (μB per cell) = 4.26



Entry 7:
Below is NaVO3 at its PBEsol-relaxed geometry, with properties calculated at the SCAN level.

```
data_NaVO3
_chemical_formula_sum 'Na4 V4 O12'
_symmetry_space_group_name_H-M 'P 1'
_symmetry_Int_Tables_number 1
_symmetry_space_group_name_Hall 'P 1'
_cell_length_a 7.798
_cell_length_b 7.798
_cell_length_c 7.798
_cell_angle_alpha 100.42
_cell_angle_beta 96.99
_cell_angle_gamma 134.22
loop_
_atom_site_label
_atom_site_type_symbol
_atom_site_fract_x
_atom_site_fract_y
_atom_site_fract_z
Na1 Na 0.250 0.070 0.820
Na2 Na 0.250 0.430 0.180
Na3 Na 0.750 0.570 0.820
Na4 Na 0.750 0.930 0.180
V1 V 0.204 0.579 0.783
V2 V 0.296 0.079 0.375
V3 V 0.704 0.921 0.625
V4 V 0.796 0.421 0.217
O1 O 0.097 0.750 0.347
O2 O 0.136 0.088 0.224
O3 O 0.140 0.731 0.872
O4 O 0.360 0.231 0.591
O5 O 0.364 0.588 0.952
O6 O 0.403 0.750 0.653
O7 O 0.597 0.250 0.347
O8 O 0.636 0.412 0.048
O9 O 0.640 0.769 0.409
O10 O 0.860 0.269 0.128
O11 O 0.864 0.912 0.776
O12 O 0.903 0.250 0.653
```

Results
- crystal system = orthorhombic
- formation energy from raw total energies (eV/atom) = -2.456
- space-group type = Ibam
- M_tot (μB per cell) = 0.21



Entry 8:
Below is NaV4O10 at its PBEsol-relaxed geometry, with properties calculated at the SCAN level.

```
data_NaV4O10
_chemical_formula_sum 'Na2 V8 O20'
_symmetry_space_group_name_H-M 'P 1'
_symmetry_Int_Tables_number 1
_symmetry_space_group_name_Hall 'P 1'
_cell_length_a 5.962
_cell_length_b 5.962
_cell_length_c 18.231
_cell_angle_alpha 90.00
_cell_angle_beta 90.00
_cell_angle_gamma 144.56
loop_
_atom_site_label
_atom_site_type_symbol
_atom_site_fract_x
_atom_site_fract_y
_atom_site_fract_z
Na1 Na 0.062 0.938 0.750
Na2 Na 0.938 0.062 0.250
V1 V 0.271 0.729 0.086
V2 V 0.271 0.729 0.414
V3 V 0.433 0.567 0.584
V4 V 0.433 0.567 0.916
V5 V 0.567 0.433 0.084
V6 V 0.567 0.433 0.416
V7 V 0.729 0.271 0.586
V8 V 0.729 0.271 0.914
O1 O 0.098 0.902 0.067
O2 O 0.098 0.902 0.433
O3 O 0.258 0.742 0.564
O4 O 0.258 0.742 0.936
O5 O 0.295 0.705 0.172
O6 O 0.295 0.705 0.328
O7 O 0.418 0.582 0.049
O8 O 0.418 0.582 0.451
O9 O 0.458 0.542 0.671
O10 O 0.458 0.542 0.829
O11 O 0.542 0.458 0.171
O12 O 0.542 0.458 0.329
O13 O 0.582 0.418 0.549
O14 O 0.582 0.418 0.951
O15 O 0.705 0.295 0.672
O16 O 0.705 0.295 0.828
O17 O 0.742 0.258 0.064
O18 O 0.742 0.258 0.436
O19 O 0.902 0.098 0.567
O20 O 0.902 0.098 0.933
```

Results
- crystal system = orthorhombic
- formation energy from raw total energies (eV/atom) = -2.510
- space-group type = Cmcm
- M_tot (μB per cell) = 0.01